DFT (PBEsol) results for a relaxed structure of CsCeSiS4.

Summary:
The total energy is -5.81 eV/atom. The space-group type is Pnma (62). Its formation energy from raw total energies is -1405 meV/atom.

Cell: 6.352 6.593 17.787 Å, 90.00 90.00 90.00°
Element x y z (fractional)
S 0.367 0.250 0.029
S 0.633 0.750 0.971
S 0.446 0.750 0.157
S 0.946 0.250 0.343
S 0.914 0.004 0.105
S 0.414 0.504 0.395
S 0.086 0.504 0.895
S 0.054 0.750 0.657
S 0.586 0.496 0.605
S 0.867 0.750 0.471
S 0.086 0.996 0.895
S 0.914 0.496 0.105
S 0.133 0.250 0.529
S 0.586 0.004 0.605
S 0.414 0.996 0.395
S 0.554 0.250 0.843
Si 0.787 0.750 0.587
Si 0.287 0.250 0.913
Si 0.713 0.750 0.087
Si 0.213 0.250 0.413
Cs 0.010 0.750 0.284
Cs 0.510 0.250 0.216
Cs 0.490 0.750 0.784
Cs 0.990 0.250 0.716
Ce 0.793 0.250 0.978
Ce 0.707 0.250 0.478
Ce 0.293 0.750 0.522
Ce 0.207 0.750 0.022

***

DFT (PBEsol) results for a relaxed structure of ScVO4.

Summary:
The total energy is -9.11 eV/atom. The space-group type is I4_1/amd (141). Its formation energy from raw total energies is -2901 meV/atom.

Cell: 5.676 5.676 5.676 Å, 106.68 106.68 115.22°
Element x y z (fractional)
O 0.929 0.623 0.694
O 0.377 0.071 0.306
O 0.873 0.679 0.194
O 0.321 0.514 0.194
O 0.929 0.236 0.306
O 0.321 0.127 0.806
O 0.764 0.071 0.694
O 0.486 0.679 0.806
Sc 0.250 0.750 0.500
Sc 0.000 0.000 0.000
V 0.500 0.500 0.000
V 0.750 0.250 0.500

***

DFT (PBEsol) results for a relaxed structure of La3Si4Ni4.

Summary:
The total energy is -6.57 eV/atom. The space-group type is Immm (71). Its formation energy from raw total energies is -780 meV/atom.

Cell: 4.067 4.135 12.055 Å, 99.88 99.71 90.00°
Element x y z (fractional)
Si 0.299 0.299 0.597
Si 0.052 0.552 0.104
Si 0.701 0.701 0.403
Si 0.948 0.448 0.896
Ni 0.600 0.600 0.201
Ni 0.748 0.248 0.497
Ni 0.400 0.400 0.799
Ni 0.252 0.752 0.503
La 0.500 0.000 0.000
La 0.850 0.850 0.700
La 0.150 0.150 0.300

***

Q: Which value of formation energy from raw total energies does entry 1 give?
A: -1405 meV/atom

***

Q: Number 3 is which compound?
A: La3Si4Ni4

***

Repeat the second record exactly.
DFT (PBEsol) results for a relaxed structure of ScVO4.

Summary:
The total energy is -9.11 eV/atom. The space-group type is I4_1/amd (141). Its formation energy from raw total energies is -2901 meV/atom.

Cell: 5.676 5.676 5.676 Å, 106.68 106.68 115.22°
Element x y z (fractional)
O 0.929 0.623 0.694
O 0.377 0.071 0.306
O 0.873 0.679 0.194
O 0.321 0.514 0.194
O 0.929 0.236 0.306
O 0.321 0.127 0.806
O 0.764 0.071 0.694
O 0.486 0.679 0.806
Sc 0.250 0.750 0.500
Sc 0.000 0.000 0.000
V 0.500 0.500 0.000
V 0.750 0.250 0.500

***

Q: Which of these has the lowest formation energy from raw total energies?
A: ScVO4